Entry 1:
! ScIn2Ru PBE-GGA relaxed; values from VASP
! **Total DFT energy (no corrections)**: -0.19695 hartree per atom
! **SG**: F-43m, No. 216
! **Density of states at the Fermi level**: 0.896 states/eV per atom
&SYSTEM
  ibrav = 0, nat = 16, ntyp = 3
/
ATOMIC_SPECIES
Sc 44.96 Sc.upf
In 114.82 In.upf
Ru 101.07 Ru.upf
CELL_PARAMETERS angstrom
6.749 0.000 0.000
0.000 6.749 0.000
0.000 0.000 6.749
ATOMIC_POSITIONS angstrom
Sc 0.000 0.000 0.000
Sc 0.000 3.375 3.375
Sc 3.375 0.000 3.375
Sc 3.375 3.375 0.000
In 0.000 0.000 3.375
In 0.000 3.375 0.000
In 1.687 1.687 1.687
In 1.687 5.062 5.062
In 3.375 0.000 0.000
In 3.375 3.375 3.375
In 5.062 1.687 5.062
In 5.062 5.062 1.687
Ru 1.687 1.687 5.062
Ru 1.687 5.062 1.687
Ru 5.062 1.687 1.687
Ru 5.062 5.062 5.062



Entry 2:
! AlMo2Cl PBE-GGA relaxed; values from VASP
! **Total DFT energy (no corrections)**: -0.24513 hartree per atom
! **SG**: Cmm2, No. 35
! **E_form (uncorrected)**: 0.142 eV per atom
! **Density of states at the Fermi level**: 0.779 states/eV per atom
&SYSTEM
  ibrav = 0, nat = 8, ntyp = 3
/
ATOMIC_SPECIES
Al 26.98 Al.upf
Mo 95.94 Mo.upf
Cl 35.45 Cl.upf
CELL_PARAMETERS angstrom
3.146 0.000 0.000
0.000 4.959 0.000
0.000 0.000 8.606
ATOMIC_POSITIONS angstrom
Al 0.000 0.000 0.000
Al 1.573 2.480 0.000
Mo 0.000 0.000 4.483
Mo 0.000 2.480 6.476
Mo 1.573 0.000 6.476
Mo 1.573 2.480 4.483
Cl 0.000 2.480 1.969
Cl 1.573 0.000 1.969